A plane-wave DFT calculation with PBE-GGA was carried out for an optimized crystal structure of PmAg2Pd.

## Properties
DFT formation energy (eV/atom): -0.278
E above lowest polymorph (meV/atom): 132

Cell and atoms, written as CIF:
```
data_PmAg2Pd
_chemical_formula_sum 'Pm4 Ag8 Pd4'
_cell_length_a 6.938
_cell_length_b 6.938
_cell_length_c 6.938
_cell_angle_alpha 90.00
_cell_angle_beta 90.00
_cell_angle_gamma 90.00
_symmetry_space_group_name_H-M 'F m -3 m'
_symmetry_Int_Tables_number 225
_symmetry_space_group_name_Hall '-F 4 2 3'
loop_
_atom_site_label
_atom_site_type_symbol
_atom_site_fract_x
_atom_site_fract_y
_atom_site_fract_z
Pm1 Pm 0.000 0.000 0.000
Ag1 Ag 0.250 0.250 0.250
Pd1 Pd 0.000 0.000 0.500
```

A plane-wave DFT calculation with PBE-GGA was carried out for an optimized crystal structure of SrCuSi2Rh.

## Properties
Uncorrected formation energy (eV/atom): -0.5653

Cell and atoms, written as CIF:
```
data_SrCuSi2Rh
_chemical_formula_sum 'Sr2 Cu2 Si4 Rh2'
_cell_length_a 4.194
_cell_length_b 4.194
_cell_length_c 10.172
_cell_angle_alpha 90.00
_cell_angle_beta 90.00
_cell_angle_gamma 90.00
_symmetry_space_group_name_H-M 'I -4 m 2'
_symmetry_Int_Tables_number 119
_symmetry_space_group_name_Hall 'I -4 -2'
loop_
_atom_site_label
_atom_site_type_symbol
_atom_site_fract_x
_atom_site_fract_y
_atom_site_fract_z
Sr1 Sr 0.000 0.000 0.000
Cu1 Cu 0.000 0.500 0.250
Si1 Si 0.000 0.000 0.371
Rh1 Rh 0.000 0.500 0.750
```

A plane-wave DFT calculation with PBE-GGA was carried out for an optimized crystal structure of TaInP2O.

## Properties
Uncorrected formation energy (eV/atom): 0.8966
E above lowest polymorph (meV/atom): 1483

Cell and atoms, written as CIF:
```
data_TaInP2O
_chemical_formula_sum 'Ta1 In1 P2 O1'
_cell_length_a 4.984
_cell_length_b 4.984
_cell_length_c 3.912
_cell_angle_alpha 90.00
_cell_angle_beta 90.00
_cell_angle_gamma 90.00
_symmetry_space_group_name_H-M 'P 4/m m m'
_symmetry_Int_Tables_number 123
_symmetry_space_group_name_Hall '-P 4 2'
loop_
_atom_site_label
_atom_site_type_symbol
_atom_site_fract_x
_atom_site_fract_y
_atom_site_fract_z
Ta1 Ta 0.000 0.000 0.000
In1 In 0.500 0.500 0.500
P1 P 0.000 0.500 0.500
O1 O 0.500 0.500 0.000
```

A plane-wave DFT calculation with PBE-GGA was carried out for an optimized crystal structure of MgScSb4.

## Properties
Uncorrected formation energy (eV/atom): 0.1710

Cell and atoms, written as CIF:
```
data_MgScSb4
_chemical_formula_sum 'Mg4 Sc4 Sb16'
_cell_length_a 8.764
_cell_length_b 8.764
_cell_length_c 8.764
_cell_angle_alpha 90.00
_cell_angle_beta 90.00
_cell_angle_gamma 90.00
_symmetry_space_group_name_H-M 'F -4 3 m'
_symmetry_Int_Tables_number 216
_symmetry_space_group_name_Hall 'F -4 2 3'
loop_
_atom_site_label
_atom_site_type_symbol
_atom_site_fract_x
_atom_site_fract_y
_atom_site_fract_z
Mg1 Mg 0.000 0.000 0.000
Sc1 Sc 0.250 0.250 0.250
Sb1 Sb 0.125 0.125 0.625
```

A plane-wave DFT calculation with PBE-GGA was carried out for an optimized crystal structure of Ca2YAl.

## Properties
DFT formation energy (eV/atom): 0.007

Cell and atoms, written as CIF:
```
data_Ca2YAl
_chemical_formula_sum 'Ca4 Y2 Al2'
_cell_length_a 4.803
_cell_length_b 4.803
_cell_length_c 10.302
_cell_angle_alpha 90.00
_cell_angle_beta 90.00
_cell_angle_gamma 90.00
_symmetry_space_group_name_H-M 'I 4/m m m'
_symmetry_Int_Tables_number 139
_symmetry_space_group_name_Hall '-I 4 2'
loop_
_atom_site_label
_atom_site_type_symbol
_atom_site_fract_x
_atom_site_fract_y
_atom_site_fract_z
Ca1 Ca 0.000 0.500 0.250
Y1 Y 0.000 0.000 0.000
Al1 Al 0.000 0.000 0.500
```

A plane-wave DFT calculation with PBE-GGA was carried out for an optimized crystal structure of Li5Ag2Pd2Au.

## Properties
DFT formation energy (eV/atom): -0.265

Cell and atoms, written as CIF:
```
data_Li5Ag2Pd2Au
_chemical_formula_sum 'Li10 Ag4 Pd4 Au2'
_cell_length_a 9.330
_cell_length_b 9.330
_cell_length_c 3.716
_cell_angle_alpha 90.00
_cell_angle_beta 90.00
_cell_angle_gamma 90.00
_symmetry_space_group_name_H-M 'P 4/m b m'
_symmetry_Int_Tables_number 127
_symmetry_space_group_name_Hall '-P 4 2ab'
loop_
_atom_site_label
_atom_site_type_symbol
_atom_site_fract_x
_atom_site_fract_y
_atom_site_fract_z
Li1 Li 0.000 0.500 0.000
Li2 Li 0.070 0.199 0.000
Ag1 Ag 0.177 0.677 0.500
Pd1 Pd 0.116 0.384 0.500
Au1 Au 0.000 0.000 0.500
```

A plane-wave DFT calculation with PBE-GGA was carried out for an optimized crystal structure of NdGePb2.

## Properties
DFT formation energy (eV/atom): -0.333
E above lowest polymorph (meV/atom): 0

Cell and atoms, written as CIF:
```
data_NdGePb2
_chemical_formula_sum 'Nd1 Ge1 Pb2'
_cell_length_a 4.679
_cell_length_b 4.679
_cell_length_c 4.985
_cell_angle_alpha 90.00
_cell_angle_beta 90.00
_cell_angle_gamma 90.00
_symmetry_space_group_name_H-M 'P 4/m m m'
_symmetry_Int_Tables_number 123
_symmetry_space_group_name_Hall '-P 4 2'
loop_
_atom_site_label
_atom_site_type_symbol
_atom_site_fract_x
_atom_site_fract_y
_atom_site_fract_z
Nd1 Nd 0.000 0.000 0.000
Ge1 Ge 0.500 0.500 0.000
Pb1 Pb 0.000 0.500 0.500
```

A plane-wave DFT calculation with PBE-GGA was carried out for an optimized crystal structure of LaMg7Ag5.

## Properties
DFT formation energy (eV/atom): -0.203

Cell and atoms, written as CIF:
```
data_LaMg7Ag5
_chemical_formula_sum 'La2 Mg14 Ag10'
_cell_length_a 5.664
_cell_length_b 9.963
_cell_length_c 9.764
_cell_angle_alpha 90.00
_cell_angle_beta 90.00
_cell_angle_gamma 90.00
_symmetry_space_group_name_H-M 'I m m 2'
_symmetry_Int_Tables_number 44
loop_
_symmetry_equiv_pos_as_xyz
'x,y,z'
'-x,-y,z'
'-x,y,z'
'x,-y,z'
'x+1/2,y+1/2,z+1/2'
'-x+1/2,-y+1/2,z+1/2'
'-x+1/2,y+1/2,z+1/2'
'x+1/2,-y+1/2,z+1/2'
loop_
_atom_site_label
_atom_site_type_symbol
_atom_site_fract_x
_atom_site_fract_y
_atom_site_fract_z
La1 La 0.000 0.000 0.000
Mg1 Mg 0.000 0.000 0.351
Mg2 Mg 0.000 0.000 0.661
Mg3 Mg 0.000 0.293 0.500
Mg4 Mg 0.000 0.347 0.016
Mg5 Mg 0.000 0.500 0.727
Ag1 Ag 0.000 0.500 0.288
Ag2 Ag 0.248 0.255 0.756
```

A plane-wave DFT calculation with PBE-GGA was carried out for an optimized crystal structure of Er2Tc2B2C.

## Properties
DFT formation energy (eV/atom): -0.441

Cell and atoms, written as CIF:
```
data_Er2Tc2B2C
_chemical_formula_sum 'Er4 Tc4 B4 C2'
_cell_length_a 10.652
_cell_length_b 3.440
_cell_length_c 6.781
_cell_angle_alpha 90.00
_cell_angle_beta 127.74
_cell_angle_gamma 90.00
_symmetry_space_group_name_H-M 'C 1 2/m 1'
_symmetry_Int_Tables_number 12
loop_
_symmetry_equiv_pos_as_xyz
'x,y,z'
'-x,-y,-z'
'-x,y,-z'
'x,-y,z'
'x+1/2,y+1/2,z'
'-x+1/2,-y+1/2,-z'
'-x+1/2,y+1/2,-z'
'x+1/2,-y+1/2,z'
loop_
_atom_site_label
_atom_site_type_symbol
_atom_site_fract_x
_atom_site_fract_y
_atom_site_fract_z
Er1 Er 0.073 0.000 0.325
Tc1 Tc 0.211 0.500 0.824
B1 B 0.112 0.500 0.059
C1 C 0.000 0.500 0.500
```

A plane-wave DFT calculation with PBE-GGA was carried out for an optimized crystal structure of TaZnRu.

## Properties
DFT formation energy (eV/atom): -0.173
E above lowest polymorph (meV/atom): 65

Cell and atoms, written as CIF:
```
data_TaZnRu
_chemical_formula_sum 'Ta2 Zn2 Ru2'
_cell_length_a 3.048
_cell_length_b 3.564
_cell_length_c 8.510
_cell_angle_alpha 90.00
_cell_angle_beta 90.00
_cell_angle_gamma 90.00
_symmetry_space_group_name_H-M 'I m m 2'
_symmetry_Int_Tables_number 44
loop_
_symmetry_equiv_pos_as_xyz
'x,y,z'
'-x,-y,z'
'-x,y,z'
'x,-y,z'
'x+1/2,y+1/2,z+1/2'
'-x+1/2,-y+1/2,z+1/2'
'-x+1/2,y+1/2,z+1/2'
'x+1/2,-y+1/2,z+1/2'
loop_
_atom_site_label
_atom_site_type_symbol
_atom_site_fract_x
_atom_site_fract_y
_atom_site_fract_z
Ta1 Ta 0.000 0.000 0.000
Zn1 Zn 0.000 0.000 0.676
Ru1 Ru 0.000 0.000 0.339
```

A plane-wave DFT calculation with PBE-GGA was carried out for an optimized crystal structure of TbBiAu4.

## Properties
DFT formation energy (eV/atom): -0.440
E above lowest polymorph (meV/atom): 0

Cell and atoms, written as CIF:
```
data_TbBiAu4
_chemical_formula_sum 'Tb1 Bi1 Au4'
_cell_length_a 4.8679
_cell_length_b 4.8679
_cell_length_c 6.4347
_cell_angle_alpha 90.00
_cell_angle_beta 90.00
_cell_angle_gamma 120.00
_symmetry_space_group_name_H-M 'P 6/m m m'
_symmetry_Int_Tables_number 191
_symmetry_space_group_name_Hall '-P 6 2'
loop_
_atom_site_label
_atom_site_type_symbol
_atom_site_fract_x
_atom_site_fract_y
_atom_site_fract_z
Tb1 Tb 0.0000 0.0000 0.0000
Bi1 Bi 0.0000 0.0000 0.5000
Au1 Au 0.3333 0.6667 0.2351
```

A plane-wave DFT calculation with PBE-GGA was carried out for an optimized crystal structure of Sm2HoTm8.

## Properties
DFT formation energy (eV/atom): 0.179
E above lowest polymorph (meV/atom): 14

Cell and atoms, written as CIF:
```
data_Sm2HoTm8
_chemical_formula_sum 'Sm4 Ho2 Tm16'
_cell_length_a 16.355
_cell_length_b 6.544
_cell_length_c 6.586
_cell_angle_alpha 90.00
_cell_angle_beta 100.28
_cell_angle_gamma 90.00
_symmetry_space_group_name_H-M 'C 1 2/m 1'
_symmetry_Int_Tables_number 12
loop_
_symmetry_equiv_pos_as_xyz
'x,y,z'
'-x,-y,-z'
'-x,y,-z'
'x,-y,z'
'x+1/2,y+1/2,z'
'-x+1/2,-y+1/2,-z'
'-x+1/2,y+1/2,-z'
'x+1/2,-y+1/2,z'
loop_
_atom_site_label
_atom_site_type_symbol
_atom_site_fract_x
_atom_site_fract_y
_atom_site_fract_z
Sm1 Sm 0.244 0.000 0.311
Ho1 Ho 0.000 0.000 0.000
Tm1 Tm 0.087 0.261 0.401
Tm2 Tm 0.089 0.500 0.904
Tm3 Tm 0.200 0.000 0.801
```

A plane-wave DFT calculation with PBE-GGA was carried out for an optimized crystal structure of PrNd4Pd2.

## Properties
DFT formation energy (eV/atom): -0.304
E above lowest polymorph (meV/atom): 0

Cell and atoms, written as CIF:
```
data_PrNd4Pd2
_chemical_formula_sum 'Pr3 Nd12 Pd6'
_cell_length_a 4.1045
_cell_length_b 4.1045
_cell_length_c 46.6631
_cell_angle_alpha 90.00
_cell_angle_beta 90.00
_cell_angle_gamma 120.00
_symmetry_space_group_name_H-M 'R -3 m'
_symmetry_Int_Tables_number 166
_symmetry_space_group_name_Hall '-R 3 2"'
loop_
_atom_site_label
_atom_site_type_symbol
_atom_site_fract_x
_atom_site_fract_y
_atom_site_fract_z
Pr1 Pr 0.0000 0.0000 0.0000
Nd1 Nd 0.0000 0.0000 0.1984
Nd2 Nd 0.0000 0.0000 0.3961
Pd1 Pd 0.0000 0.0000 0.0990
```

A plane-wave DFT calculation with PBE-GGA was carried out for an optimized crystal structure of SnPtSe2.

## Properties
Uncorrected formation energy (eV/atom): 0.0526

Cell and atoms, written as CIF:
```
data_SnPtSe2
_chemical_formula_sum 'Sn3 Pt3 Se6'
_cell_length_a 4.0650
_cell_length_b 4.0650
_cell_length_c 23.3415
_cell_angle_alpha 90.00
_cell_angle_beta 90.00
_cell_angle_gamma 120.00
_symmetry_space_group_name_H-M 'R -3 m'
_symmetry_Int_Tables_number 166
_symmetry_space_group_name_Hall '-R 3 2"'
loop_
_atom_site_label
_atom_site_type_symbol
_atom_site_fract_x
_atom_site_fract_y
_atom_site_fract_z
Sn1 Sn 0.0000 0.0000 0.0000
Pt1 Pt 0.0000 0.0000 0.5000
Se1 Se 0.0000 0.0000 0.3996
```

A plane-wave DFT calculation with PBE-GGA was carried out for an optimized crystal structure of Y2PPb.

## Properties
DFT formation energy (eV/atom): -0.592
E above lowest polymorph (meV/atom): 494

Cell and atoms, written as CIF:
```
data_Y2PPb
_chemical_formula_sum 'Y4 P2 Pb2'
_cell_length_a 6.550
_cell_length_b 7.879
_cell_length_c 3.828
_cell_angle_alpha 90.00
_cell_angle_beta 90.00
_cell_angle_gamma 90.00
_symmetry_space_group_name_H-M 'C m m m'
_symmetry_Int_Tables_number 65
_symmetry_space_group_name_Hall '-C 2 2'
loop_
_atom_site_label
_atom_site_type_symbol
_atom_site_fract_x
_atom_site_fract_y
_atom_site_fract_z
Y1 Y 0.250 0.250 0.000
P1 P 0.000 0.000 0.500
Pb1 Pb 0.000 0.500 0.500
```

A plane-wave DFT calculation with PBE-GGA was carried out for an optimized crystal structure of LiBeAsH.

## Properties
Uncorrected energy (eV/atom): -3.6287

Cell and atoms, written as CIF:
```
data_LiBeAsH
_chemical_formula_sum 'Li2 Be2 As2 H2'
_cell_length_a 5.837
_cell_length_b 3.251
_cell_length_c 5.756
_cell_angle_alpha 90.00
_cell_angle_beta 110.18
_cell_angle_gamma 90.00
_symmetry_space_group_name_H-M 'C 1 m 1'
_symmetry_Int_Tables_number 8
loop_
_symmetry_equiv_pos_as_xyz
'x,y,z'
'x,-y,z'
'x+1/2,y+1/2,z'
'x+1/2,-y+1/2,z'
loop_
_atom_site_label
_atom_site_type_symbol
_atom_site_fract_x
_atom_site_fract_y
_atom_site_fract_z
Li1 Li 0.000 0.000 0.000
Be1 Be 0.300 0.500 0.387
As1 As 0.204 0.000 0.613
H1 H 0.211 0.500 0.124
```